VASP calculation (PBE) on an optimized crystal structure of K2PdRhCl6.

Values from the calculation:
symmetry	No. 59
raw formation energy	-99	kJ per mole of atoms
total DFT energy (no corrections)	-72.26	eV for the cell shown

Unit cell a=7.033 b=9.721 c=7.054 alpha=90.00 beta=90.00 gamma=90.00
Positions (direct):
K: 0.250 0.000 0.247
K: 0.250 0.500 0.247
K: 0.750 0.000 0.753
K: 0.750 0.500 0.753
Pd: 0.250 0.250 0.745
Pd: 0.750 0.750 0.255
Rh: 0.250 0.750 0.747
Rh: 0.750 0.250 0.253
Cl: 0.000 0.250 0.014
Cl: 0.000 0.750 0.986
Cl: 0.013 0.750 0.500
Cl: 0.250 0.504 0.780
Cl: 0.250 0.996 0.780
Cl: 0.487 0.750 0.500
Cl: 0.500 0.250 0.014
Cl: 0.500 0.750 0.986
Cl: 0.513 0.250 0.500
Cl: 0.750 0.004 0.220
Cl: 0.750 0.496 0.220
Cl: 0.987 0.250 0.500

---

VASP calculation (PBE) on an optimized crystal structure of NpReH.

Values from the calculation:
symmetry	No. 31
excess energy over the best structure of this formula in the dataset	0.000	eV per formula unit
total DFT energy (no corrections)	-55.95	eV for the cell shown

Unit cell a=3.830 b=4.309 c=4.871 alpha=90.00 beta=90.00 gamma=90.00
Positions (direct):
Np: 0.000 0.002 0.000
Np: 0.500 0.998 0.500
Re: 0.000 0.500 0.505
Re: 0.500 0.500 0.005
H: 0.000 0.501 0.119
H: 0.500 0.499 0.619

---

VASP calculation (PBE) on an optimized crystal structure of AcTbO2.

Values from the calculation:
symmetry	No. 123
raw formation energy	-188	kJ per mole of atoms
excess energy over the best structure of this formula in the dataset	3.178	eV per formula unit
total DFT energy (no corrections)	-26.44	eV for the cell shown

Unit cell a=3.175 b=3.175 c=6.282 alpha=90.00 beta=90.00 gamma=90.00
Positions (direct):
Ac: 0.000 0.000 0.000
Tb: 0.000 0.000 0.500
O: 0.500 0.500 0.269
O: 0.500 0.500 0.731

---

VASP calculation (PBE) on an optimized crystal structure of CuNiBr.

Values from the calculation:
symmetry	No. 156
raw formation energy	50	kJ per mole of atoms
excess energy over the best structure of this formula in the dataset	0.591	eV per formula unit
total DFT energy (no corrections)	-10.00	eV for the cell shown

Unit cell a=4.051 b=4.051 c=3.375 alpha=90.00 beta=90.00 gamma=120.00
Positions (direct):
Cu: 0.000 0.000 0.000
Ni: 0.667 0.333 0.405
Br: 0.333 0.667 0.518

---

VASP calculation (PBE) on an optimized crystal structure of TbPmScGa.

Values from the calculation:
symmetry	No. 216
total DFT energy (no corrections)	-19.33	eV for the cell shown
E_form	-0.15	eV/atom

Unit cell a=5.262 b=5.262 c=5.262 alpha=60.00 beta=60.00 gamma=60.00
Positions (direct):
Tb: 0.000 0.000 0.000
Pm: 0.500 0.500 0.500
Sc: 0.250 0.250 0.250
Ga: 0.750 0.750 0.750

---

VASP calculation (PBE) on an optimized crystal structure of Be2H6Os.

Values from the calculation:
symmetry	No. 225
excess energy over the best structure of this formula in the dataset	1.422	eV per formula unit
total DFT energy (no corrections)	-37.74	eV for the cell shown

Unit cell a=4.294 b=4.294 c=4.294 alpha=60.00 beta=60.00 gamma=60.00
Positions (direct):
Be: 0.250 0.250 0.250
Be: 0.750 0.750 0.750
H: 0.226 0.226 0.774
H: 0.226 0.774 0.226
H: 0.226 0.774 0.774
H: 0.774 0.226 0.226
H: 0.774 0.226 0.774
H: 0.774 0.774 0.226
Os: 0.500 0.500 0.500

---

VASP calculation (PBE) on an optimized crystal structure of TbCe2NdTl4.

Values from the calculation:
symmetry	No. 166
total DFT energy (no corrections)	-33.02	eV for the cell shown
E_form	-0.29	eV/atom

Unit cell a=9.520 b=9.520 c=9.520 alpha=33.49 beta=33.49 gamma=33.49
Positions (direct):
Tb: 0.000 0.000 0.000
Ce: 0.250 0.250 0.250
Ce: 0.750 0.750 0.750
Nd: 0.500 0.500 0.500
Tl: 0.124 0.124 0.124
Tl: 0.374 0.374 0.374
Tl: 0.626 0.626 0.626
Tl: 0.876 0.876 0.876

---

VASP calculation (PBE) on an optimized crystal structure of HfAl6Fe6.

Values from the calculation:
symmetry	No. 71
total DFT energy (no corrections)	-88.17	eV for the cell shown
E_form	-0.38	eV/atom

Unit cell a=6.467 b=6.467 c=6.467 alpha=135.12 beta=99.14 gamma=97.61
Positions (direct):
Hf: 0.000 0.000 0.000
Al: 0.185 0.685 0.500
Al: 0.336 0.000 0.336
Al: 0.344 0.344 0.000
Al: 0.656 0.656 0.000
Al: 0.664 0.000 0.664
Al: 0.815 0.315 0.500
Fe: 0.000 0.000 0.500
Fe: 0.000 0.500 0.000
Fe: 0.238 0.500 0.738
Fe: 0.500 0.000 0.000
Fe: 0.500 0.500 0.500
Fe: 0.762 0.500 0.262